Entry 1:
# GGA-PBE CsMg2Ir, optimized geometry
# **Fermi-level density of states**: 10.1 states/eV per cell
# **Formation energy from the elements**: 1.5 eV/f.u.
# **Mass density**: 3.96 g/cm3
# **Total energy**: -2.862 eV per atom
# **Offset from the most stable computed form**: 0 meV/atom
data_CsMg2Ir
_space_group_name_H-M_alt 'I 41/a m d'
_space_group_IT_number 141
_cell_length_a 6.315
_cell_length_b 6.315
_cell_length_c 15.720
_cell_angle_alpha 90.00
_cell_angle_beta 90.00
_cell_angle_gamma 90.00
loop_
_space_group_symop_operation_xyz
'x,y,z'
'-x,-y,-z'
'-y+1/4,x+3/4,z+1/4'
'y+1/4,-x+3/4,-z+1/4'
'-x+1/2,-y,z+1/2'
'x+1/2,y,-z+1/2'
'y+1/4,-x+1/4,z+3/4'
'-y+1/4,x+1/4,-z+3/4'
'x,-y,-z'
'-x,y,z'
'-y+1/4,-x+1/4,-z+3/4'
'y+1/4,x+1/4,z+3/4'
'-x+1/2,y,-z+1/2'
'x+1/2,-y,z+1/2'
'y+1/4,x+3/4,-z+1/4'
'-y+1/4,-x+3/4,z+1/4'
'x+1/2,y+1/2,z+1/2'
'-x+1/2,-y+1/2,-z+1/2'
'-y+3/4,x+1/4,z+3/4'
'y+3/4,-x+1/4,-z+3/4'
'-x,-y+1/2,z'
'x,y+1/2,-z'
'y+3/4,-x+3/4,z+1/4'
'-y+3/4,x+3/4,-z+1/4'
'x+1/2,-y+1/2,-z+1/2'
'-x+1/2,y+1/2,z+1/2'
'-y+3/4,-x+3/4,-z+1/4'
'y+3/4,x+3/4,z+1/4'
'-x,y+1/2,-z'
'x,-y+1/2,z'
'y+3/4,x+1/4,-z+3/4'
'-y+3/4,-x+1/4,z+3/4'
loop_
_atom_site_label
_atom_site_fract_x
_atom_site_fract_y
_atom_site_fract_z
Cs1 0.000 0.250 0.375
Mg1 0.000 0.000 0.000
Ir1 0.000 0.250 0.875

---

Entry 2:
# GGA-PBE AlTl2Sb, optimized geometry
# **Fermi-level density of states**: 3.3 states/eV per cell
# **Mass density**: 8.39 g/cm3
# **Total energy**: -2.958 eV per atom
# **Formation energy (no corrections)**: 191 meV per atom
# **Offset from the most stable computed form**: 113 meV/atom
data_AlTl2Sb
_space_group_name_H-M_alt 'C 1 2/m 1'
_space_group_IT_number 12
_cell_length_a 6.375
_cell_length_b 10.397
_cell_length_c 3.330
_cell_angle_alpha 90.00
_cell_angle_beta 90.51
_cell_angle_gamma 90.00
loop_
_space_group_symop_operation_xyz
'x,y,z'
'-x,-y,-z'
'-x,y,-z'
'x,-y,z'
'x+1/2,y+1/2,z'
'-x+1/2,-y+1/2,-z'
'-x+1/2,y+1/2,-z'
'x+1/2,-y+1/2,z'
loop_
_atom_site_label
_atom_site_fract_x
_atom_site_fract_y
_atom_site_fract_z
Al1 0.000 0.000 0.000
Tl1 0.250 0.250 0.500
Sb1 0.000 0.500 0.000

---

Entry 3:
# GGA-PBE TmPN3, optimized geometry
# **Fermi-level density of states**: 0.0 states/eV per cell
# **Mass density**: 5.51 g/cm3
# **Total energy**: -7.759 eV per atom
# **Formation energy (no corrections)**: -788 meV per atom
data_TmPN3
_space_group_name_H-M_alt 'P 1 21/c 1'
_space_group_IT_number 14
_cell_length_a 5.918
_cell_length_b 5.645
_cell_length_c 9.551
_cell_angle_alpha 90.00
_cell_angle_beta 114.00
_cell_angle_gamma 90.00
loop_
_space_group_symop_operation_xyz
'x,y,z'
'-x,-y,-z'
'-x,y+1/2,-z+1/2'
'x,-y+1/2,z+1/2'
loop_
_atom_site_label
_atom_site_fract_x
_atom_site_fract_y
_atom_site_fract_z
Tm1 0.236 0.126 0.379
P1 0.120 0.673 0.493
N1 0.046 0.542 0.634
N2 0.072 0.094 0.561
N3 0.381 0.744 0.008